VASP calculation (GGA-PBE) on crystalline Li3Np2S6 at its relaxed geometry.

Calculated values
- Space group: C2/m
- Formation energy (no corrections): -13.83 eV per formula unit

a = 6.742 Å, b = 6.742 Å, c = 6.453 Å
α = 100.38°, β = 100.38°, γ = 119.79°
Fractional positions:
Li: 0.000 0.000 0.000
Li: 0.341 0.659 0.000
Li: 0.659 0.341 0.000
Np: 0.167 0.833 0.500
Np: 0.833 0.167 0.500
S: 0.056 0.416 0.254
S: 0.225 0.225 0.755
S: 0.416 0.056 0.254
S: 0.584 0.944 0.746
S: 0.775 0.775 0.245
S: 0.944 0.584 0.746